{"formula": "Pr2TcAg", "functional": "PBE", "state": "optimized geometry", "lattice_angstrom": [[-3.339, 1.186, 0.536], [-1.255, -3.324, -0.465], [0.742, -1.341, 7.594]], "species": ["Pr", "Ag", "Tc", "Pr"], "frac_coords": [[0.000, 0.000, 0.223], [0.500, 0.500, 0.500], [0.500, 0.500, 0.000], [0.000, 0.000, 0.777]], "total_energy_ev_per_atom": -5.723, "ef_kj_per_mol_atoms": -2.8, "m_tot_mub_per_fu": 0.00}